Entry 1:
MgSiTeI2: PBEsol geometry, meta-GGA SCAN. Values from VASP.

Values from the calculation:
Raw total energy: -0.9125 Ha/atom
Uncorrected formation energy: 0.31 eV per atom

Structure (Quantum ESPRESSO input):
```
&SYSTEM
  ibrav = 0, nat = 5, ntyp = 4
/
ATOMIC_SPECIES
Mg 24.30 Mg.upf
Si 28.09 Si.upf
Te 127.60 Te.upf
I 126.90 I.upf
CELL_PARAMETERS angstrom
5.387 0.000 0.000
0.000 5.387 0.000
0.000 0.000 5.620
ATOMIC_POSITIONS crystal
Mg 0.000 0.000 0.000
Si 0.500 0.500 0.500
Te 0.000 0.000 0.500
I 0.000 0.500 0.000
I 0.500 0.000 0.000
```

Entry 2:
TmCoC: PBEsol geometry, meta-GGA SCAN. Values from VASP.

Values from the calculation:
Raw total energy: -0.9847 Ha/atom
Formation energy: -382 meV per atom

Structure (Quantum ESPRESSO input):
```
&SYSTEM
  ibrav = 0, nat = 6, ntyp = 3
/
ATOMIC_SPECIES
Tm 168.93 Tm.upf
Co 58.93 Co.upf
C 12.01 C.upf
CELL_PARAMETERS angstrom
3.564 0.000 0.000
0.000 3.564 0.000
0.000 0.000 6.627
ATOMIC_POSITIONS crystal
Tm 0.000 0.000 0.250
Tm 0.000 0.000 0.750
Co 0.500 0.500 0.000
Co 0.500 0.500 0.500
C 0.000 0.500 0.000
C 0.500 0.000 0.500
```

Entry 3:
Li4FeP6H8O22: PBEsol geometry, meta-GGA SCAN. Values from VASP.

Values from the calculation:
Raw total energy: -0.3022 Ha/atom

Structure (Quantum ESPRESSO input):
```
&SYSTEM
  ibrav = 0, nat = 41, ntyp = 5
/
ATOMIC_SPECIES
Li 6.94 Li.upf
Fe 55.84 Fe.upf
P 30.97 P.upf
H 1.01 H.upf
O 16.00 O.upf
CELL_PARAMETERS angstrom
6.899 0.000 0.000
-0.033 7.239 0.000
-2.225 -0.346 8.517
ATOMIC_POSITIONS crystal
Li 0.122 0.122 0.457
Li 0.220 0.001 0.776
Li 0.780 0.999 0.224
Li 0.878 0.878 0.543
Fe 0.000 0.500 0.000
P 0.219 0.441 0.718
P 0.317 0.732 0.527
P 0.463 0.301 0.154
P 0.537 0.699 0.846
P 0.683 0.268 0.473
P 0.781 0.559 0.282
H 0.097 0.156 0.162
H 0.104 0.938 0.171
H 0.264 0.720 0.206
H 0.271 0.771 0.027
H 0.729 0.229 0.973
H 0.736 0.280 0.794
H 0.896 0.062 0.829
H 0.903 0.844 0.838
O 0.057 0.053 0.219
O 0.064 0.532 0.787
O 0.178 0.740 0.095
O 0.179 0.882 0.559
O 0.206 0.238 0.681
O 0.224 0.536 0.556
O 0.245 0.311 0.072
O 0.375 0.723 0.377
O 0.405 0.832 0.906
O 0.440 0.493 0.828
O 0.476 0.256 0.335
O 0.524 0.744 0.665
O 0.560 0.507 0.172
O 0.595 0.168 0.094
O 0.625 0.277 0.623
O 0.755 0.689 0.928
O 0.776 0.464 0.444
O 0.794 0.762 0.319
O 0.821 0.118 0.441
O 0.822 0.260 0.905
O 0.936 0.468 0.213
O 0.943 0.947 0.781
```

Entry 4:
LiMn2O3F: PBEsol geometry, meta-GGA SCAN. Values from VASP.

Values from the calculation:
Raw total energy: -0.4091 Ha/atom
Energy above the lowest structure with this stoichiometry: 0 meV per atom
Uncorrected formation energy: -2.40 eV per atom

Structure (Quantum ESPRESSO input):
```
&SYSTEM
  ibrav = 0, nat = 28, ntyp = 4
/
ATOMIC_SPECIES
Li 6.94 Li.upf
Mn 54.94 Mn.upf
O 16.00 O.upf
F 19.00 F.upf
CELL_PARAMETERS angstrom
5.712 0.000 0.000
0.000 6.026 0.000
0.000 0.000 8.588
ATOMIC_POSITIONS crystal
Li 0.031 0.250 0.150
Li 0.469 0.750 0.650
Li 0.531 0.250 0.350
Li 0.969 0.750 0.850
Mn 0.000 0.000 0.500
Mn 0.000 0.500 0.500
Mn 0.249 0.250 0.759
Mn 0.251 0.750 0.259
Mn 0.500 0.000 0.000
Mn 0.500 0.500 0.000
Mn 0.749 0.250 0.741
Mn 0.751 0.750 0.241
O 0.002 0.037 0.724
O 0.002 0.463 0.724
O 0.199 0.750 0.511
O 0.301 0.250 0.011
O 0.498 0.537 0.224
O 0.498 0.963 0.224
O 0.502 0.037 0.776
O 0.502 0.463 0.776
O 0.699 0.750 0.989
O 0.801 0.250 0.489
O 0.998 0.537 0.276
O 0.998 0.963 0.276
F 0.215 0.750 0.994
F 0.285 0.250 0.494
F 0.715 0.750 0.506
F 0.785 0.250 0.006
```

Entry 5:
TaRe3Sn: PBEsol geometry, meta-GGA SCAN. Values from VASP.

Values from the calculation:
Raw total energy: -2.2387 Ha/atom
Formation energy: 2240 meV per atom

Structure (Quantum ESPRESSO input):
```
&SYSTEM
  ibrav = 0, nat = 5, ntyp = 3
/
ATOMIC_SPECIES
Ta 180.95 Ta.upf
Re 186.21 Re.upf
Sn 118.71 Sn.upf
CELL_PARAMETERS angstrom
4.758 0.000 0.000
0.000 4.758 0.000
0.000 0.000 4.758
ATOMIC_POSITIONS crystal
Ta 0.000 0.000 0.000
Re 0.000 0.000 0.500
Re 0.000 0.500 0.000
Re 0.500 0.000 0.000
Sn 0.500 0.500 0.500
```

Entry 6:
Li2HPb: PBEsol geometry, meta-GGA SCAN. Values from VASP.

Values from the calculation:
Raw total energy: -0.7630 Ha/atom
Energy above the lowest structure with this stoichiometry: 598 meV per atom

Structure (Quantum ESPRESSO input):
```
&SYSTEM
  ibrav = 0, nat = 4, ntyp = 3
/
ATOMIC_SPECIES
Li 6.94 Li.upf
H 1.01 H.upf
Pb 207.20 Pb.upf
CELL_PARAMETERS angstrom
0.000 3.200 3.200
3.200 0.000 3.200
3.200 3.200 0.000
ATOMIC_POSITIONS crystal
Li 0.250 0.250 0.250
Li 0.750 0.750 0.750
H 0.000 0.000 0.000
Pb 0.500 0.500 0.500
```

Entry 7:
SiPSe2: PBEsol geometry, meta-GGA SCAN. Values from VASP.

Values from the calculation:
Raw total energy: -0.5444 Ha/atom
Energy above the lowest structure with this stoichiometry: 0 meV per atom
Uncorrected formation energy: 0.33 eV per atom

Structure (Quantum ESPRESSO input):
```
&SYSTEM
  ibrav = 0, nat = 4, ntyp = 3
/
ATOMIC_SPECIES
Si 28.09 Si.upf
P 30.97 P.upf
Se 78.96 Se.upf
CELL_PARAMETERS angstrom
1.745 1.007 7.884
-1.745 1.007 7.884
0.000 -2.015 7.884
ATOMIC_POSITIONS crystal
Si 0.000 0.000 0.000
P 0.500 0.500 0.500
Se 0.396 0.396 0.396
Se 0.604 0.604 0.604
```

Entry 8:
ReTcN3: PBEsol geometry, meta-GGA SCAN. Values from VASP.

Values from the calculation:
Raw total energy: -0.9271 Ha/atom
Uncorrected formation energy: 1.58 eV per atom

Structure (Quantum ESPRESSO input):
```
&SYSTEM
  ibrav = 0, nat = 5, ntyp = 3
/
ATOMIC_SPECIES
Re 186.21 Re.upf
Tc 98.00 Tc.upf
N 14.01 N.upf
CELL_PARAMETERS angstrom
3.804 0.000 0.000
0.000 3.804 0.000
0.000 0.000 3.804
ATOMIC_POSITIONS crystal
Re 0.000 0.000 0.000
Tc 0.500 0.500 0.500
N 0.000 0.500 0.500
N 0.500 0.000 0.500
N 0.500 0.500 0.000
```

> Which of these has the lowest raw total energy?

TaRe3Sn

What did the fourth record say?
LiMn2O3F: PBEsol geometry, meta-GGA SCAN. Values from VASP.

Values from the calculation:
Raw total energy: -0.4091 Ha/atom
Energy above the lowest structure with this stoichiometry: 0 meV per atom
Uncorrected formation energy: -2.40 eV per atom

Structure (Quantum ESPRESSO input):
```
&SYSTEM
  ibrav = 0, nat = 28, ntyp = 4
/
ATOMIC_SPECIES
Li 6.94 Li.upf
Mn 54.94 Mn.upf
O 16.00 O.upf
F 19.00 F.upf
CELL_PARAMETERS angstrom
5.712 0.000 0.000
0.000 6.026 0.000
0.000 0.000 8.588
ATOMIC_POSITIONS crystal
Li 0.031 0.250 0.150
Li 0.469 0.750 0.650
Li 0.531 0.250 0.350
Li 0.969 0.750 0.850
Mn 0.000 0.000 0.500
Mn 0.000 0.500 0.500
Mn 0.249 0.250 0.759
Mn 0.251 0.750 0.259
Mn 0.500 0.000 0.000
Mn 0.500 0.500 0.000
Mn 0.749 0.250 0.741
Mn 0.751 0.750 0.241
O 0.002 0.037 0.724
O 0.002 0.463 0.724
O 0.199 0.750 0.511
O 0.301 0.250 0.011
O 0.498 0.537 0.224
O 0.498 0.963 0.224
O 0.502 0.037 0.776
O 0.502 0.463 0.776
O 0.699 0.750 0.989
O 0.801 0.250 0.489
O 0.998 0.537 0.276
O 0.998 0.963 0.276
F 0.215 0.750 0.994
F 0.285 0.250 0.494
F 0.715 0.750 0.506
F 0.785 0.250 0.006
```

> Look up the raw total energy of the eighth one.

-0.9271 Ha/atom